one) Material: AgMo2Pt
Method: DFT, GGA-PBE
State: optimized geometry

As for the total magnetization: 0.00 μB per cell. The volume comes out at 65.4 Å³ per cell.

The space group is P4mm (No. 99) and the conventional cell measures 3.3017, 3.3017 and 5.9999 Å, with angles of 90.00, 90.00 and 90.00 degrees. The asymmetric unit holds Ag at (0.0000, 0.0000, 0.0000), Mo at (0.0000, 0.0000, 0.4942), Mo at (0.5000, 0.5000, 0.2747) and Pt at (0.5000, 0.5000, 0.7478).

---

two) Material: AgMo2Pt
Method: DFT, GGA-PBE
State: optimized geometry

As for the total magnetization: 0.00 μB per cell. The volume comes out at 193.5 Å³ per cell.

The space group is R-3m (No. 166, hexagonal axes) and the conventional cell measures 2.7864, 2.7864 and 28.7716 Å, with angles of 90.00, 90.00 and 120.00 degrees. The asymmetric unit holds Ag at (0.0000, 0.0000, 0.0000), Mo at (0.0000, 0.0000, 0.2469) and Pt at (0.0000, 0.0000, 0.5000).

---

three) Material: AgMo2Pt
Method: DFT, GGA-PBE
State: optimized geometry

As for the total magnetization: 0.00 μB per cell. The volume comes out at 63.7 Å³ per cell.

The space group is Pmmm (No. 47) and the conventional cell measures 3.8478, 3.8834 and 4.2638 Å, with angles of 90.00, 90.00 and 90.00 degrees. The asymmetric unit holds Ag at (0.0000, 0.0000, 0.0000), Mo at (0.0000, 0.5000, 0.5000), Mo at (0.5000, 0.0000, 0.5000) and Pt at (0.5000, 0.5000, 0.0000).

---

one) is the most stable structure; the next one sits 6 meV per atom above it.

---

one) Material: AgMo2Pt
Method: DFT, GGA-PBE
State: optimized geometry

As for the total magnetization: 0.00 μB per cell. The volume comes out at 64.7 Å³ per cell.

The space group is P4mm (No. 99) and the conventional cell measures 2.7493, 2.7493 and 8.5652 Å, with angles of 90.00, 90.00 and 90.00 degrees. The asymmetric unit holds Ag at (0.0000, 0.0000, 0.0000), Mo at (0.0000, 0.0000, 0.5187), Mo at (0.5000, 0.5000, 0.2583) and Pt at (0.5000, 0.5000, 0.7393).

---

two) Material: AgMo2Pt
Method: DFT, GGA-PBE
State: optimized geometry

As for the total magnetization: 0.00 μB per cell. The volume comes out at 128.9 Å³ per cell.

The space group is C2/m (No. 12) and the conventional cell measures 9.6813, 2.7506 and 4.9129 Å, with angles of 90.00, 99.92 and 90.00 degrees. The asymmetric unit holds Ag at (0.0000, 0.0000, 0.0000), Mo at (0.2420, 0.0000, 0.7394) and Pt at (0.0000, 0.5000, 0.5000).

---

three) Material: AgMo2Pt
Method: DFT, GGA-PBE
State: optimized geometry

As for the total magnetization: 0.00 μB per cell. The volume comes out at 63.8 Å³ per cell.

The space group is Pmmm (No. 47) and the conventional cell measures 2.7188, 4.2852 and 5.4790 Å, with angles of 90.00, 90.00 and 90.00 degrees. The asymmetric unit holds Ag at (0.0000, 0.0000, 0.0000), Mo at (0.5000, 0.5000, 0.2629) and Pt at (0.0000, 0.0000, 0.5000).

---

four) Material: AgMo2Pt
Method: DFT, GGA-PBE
State: optimized geometry

As for the total magnetization: 0.00 μB per cell. The volume comes out at 284.7 Å³ per cell.

The space group is I-42d (No. 122) and the conventional cell measures 7.3623, 7.3623 and 5.2523 Å, with angles of 90.00, 90.00 and 90.00 degrees. The asymmetric unit holds Ag at (0.0000, 0.0000, 0.0000), Mo at (0.2231, 0.2500, 0.6250) and Pt at (0.0000, 0.0000, 0.5000).

---

one) is the most stable structure; the next one sits 83 meV per atom above it.

---

one) Material: AgMo2Pt
Method: DFT, GGA-PBE
State: optimized geometry

As for the total magnetization: 0.00 μB per cell. The volume comes out at 259.5 Å³ per cell.

The space group is F-43m (No. 216) and the conventional cell measures 6.3782, 6.3782 and 6.3782 Å, with angles of 90.00, 90.00 and 90.00 degrees. The asymmetric unit holds Ag at (0.0000, 0.0000, 0.0000), Mo at (0.0000, 0.0000, 0.5000), Mo at (0.2500, 0.2500, 0.2500) and Pt at (0.2500, 0.2500, 0.7500).

---

two) Material: AgMo2Pt
Method: DFT, GGA-PBE
State: optimized geometry

As for the total magnetization: 0.00 μB per cell. The volume comes out at 67.2 Å³ per cell.

The space group is P4/mmm (No. 123) and the conventional cell measures 3.4589, 3.4589 and 5.6210 Å, with angles of 90.00, 90.00 and 90.00 degrees. The asymmetric unit holds Ag at (0.0000, 0.0000, 0.0000), Mo at (0.5000, 0.5000, 0.2860) and Pt at (0.0000, 0.0000, 0.5000).

---

three) Material: AgMo2Pt
Method: DFT, GGA-PBE
State: optimized geometry

As for the total magnetization: 0.00 μB per cell. The volume comes out at 128.2 Å³ per cell.

The space group is Cm (No. 8) and the conventional cell measures 9.3713, 2.7234 and 5.0721 Å, with angles of 90.00, 97.96 and 90.00 degrees. The asymmetric unit holds Ag at (0.0000, 0.0000, 0.0000), Mo at (0.2461, 0.0000, 0.7436), Mo at (0.4917, 0.0000, 0.4968) and Pt at (0.2553, 0.5000, 0.2503).

---

three) is the most stable structure; the next one sits 165 meV per atom above it.

---

one) Material: AgMo2Pt
Method: DFT, GGA-PBE
State: optimized geometry

As for the total magnetization: 0.00 μB per cell. The volume comes out at 127.0 Å³ per cell.

The space group is Cmmm (No. 65) and the conventional cell measures 5.4538, 8.5573 and 2.7215 Å, with angles of 90.00, 90.00 and 90.00 degrees. The asymmetric unit holds Ag at (0.0000, 0.0000, 0.0000), Mo at (0.2500, 0.2500, 0.5000) and Pt at (0.0000, 0.5000, 0.0000).

---

two) Material: AgMo2Pt
Method: DFT, GGA-PBE
State: optimized geometry

As for the total magnetization: 0.00 μB per cell. The volume comes out at 127.4 Å³ per cell.

The space group is I4/mmm (No. 139) and the conventional cell measures 3.8504, 3.8504 and 8.5962 Å, with angles of 90.00, 90.00 and 90.00 degrees. The asymmetric unit holds Ag at (0.0000, 0.0000, 0.0000), Mo at (0.0000, 0.5000, 0.2500) and Pt at (0.0000, 0.0000, 0.5000).

---

one) is the most stable structure; the next one sits 39 meV per atom above it.

---

one) Material: AgMo2Pt
Method: DFT, GGA-PBE
State: optimized geometry

As for the total magnetization: 0.00 μB per cell. The volume comes out at 194.9 Å³ per cell.

The space group is R3m (No. 160, hexagonal axes) and the conventional cell measures 2.7906, 2.7906 and 28.8957 Å, with angles of 90.00, 90.00 and 120.00 degrees. The asymmetric unit holds Ag at (0.0000, 0.0000, 0.0000), Mo at (0.0000, 0.0000, 0.5029), Mo at (0.0000, 0.0000, 0.7528) and Pt at (0.0000, 0.0000, 0.2475).

---

two) Material: AgMo2Pt
Method: DFT, GGA-PBE
State: optimized geometry

As for the total magnetization: 0.00 μB per cell. The volume comes out at 261.8 Å³ per cell.

The space group is Fm-3m (No. 225) and the conventional cell measures 6.3974, 6.3974 and 6.3974 Å, with angles of 90.00, 90.00 and 90.00 degrees. The asymmetric unit holds Ag at (0.0000, 0.0000, 0.0000), Mo at (0.2500, 0.2500, 0.2500) and Pt at (0.0000, 0.0000, 0.5000).

---

three) Material: AgMo2Pt
Method: DFT, GGA-PBE
State: optimized geometry

As for the total magnetization: 0.00 μB per cell. The volume comes out at 64.3 Å³ per cell.

The space group is Pmm2 (No. 25) and the conventional cell measures 2.7189, 4.0889 and 5.7792 Å, with angles of 90.00, 90.00 and 90.00 degrees. The asymmetric unit holds Ag at (0.0000, 0.0000, 0.0000), Mo at (0.0000, 0.0000, 0.5033), Mo at (0.5000, 0.5000, 0.2568) and Pt at (0.5000, 0.5000, 0.7456).

---

three) is the most stable structure; the next one sits 12 meV per atom above it.

---

one) Material: Ag2MoPt
Method: DFT, GGA-PBE
State: optimized geometry

As for the total magnetization: 0.00 μB per cell. The volume comes out at 66.2 Å³ per cell.

The space group is Pmmm (No. 47) and the conventional cell measures 2.7437, 4.4367 and 5.4374 Å, with angles of 90.00, 90.00 and 90.00 degrees. The asymmetric unit holds Ag at (0.0000, 0.0000, 0.2483), Mo at (0.5000, 0.5000, 0.0000) and Pt at (0.5000, 0.5000, 0.5000).

---

two) Material: Ag2MoPt
Method: DFT, GGA-PBE
State: optimized geometry

As for the total magnetization: 7.23 μB per cell. The volume comes out at 298.5 Å³ per cell.

The space group is I-42d (No. 122) and the conventional cell measures 7.5321, 7.5321 and 5.2617 Å, with angles of 90.00, 90.00 and 90.00 degrees. The asymmetric unit holds Ag at (0.2449, 0.2500, 0.1250), Mo at (0.0000, 0.0000, 0.5000) and Pt at (0.0000, 0.0000, 0.0000).

---

one) is the most stable structure; the next one sits 547 meV per atom above it.

---

one) Material: Ag2MoPt
Method: DFT, GGA-PBE
State: optimized geometry

As for the total magnetization: 0.00 μB per cell. The volume comes out at 136.8 Å³ per cell.

The space group is Imm2 (No. 44) and the conventional cell measures 2.8136, 4.9528 and 9.8157 Å, with angles of 90.00, 90.00 and 90.00 degrees. The asymmetric unit holds Ag at (0.0000, 0.0000, 0.0000), Ag at (0.0000, 0.5000, 0.2374), Mo at (0.0000, 0.5000, 0.7641) and Pt at (0.0000, 0.0000, 0.4859).

---

two) Material: Ag2MoPt
Method: DFT, GGA-PBE
State: optimized geometry

As for the total magnetization: 0.00 μB per cell. The volume comes out at 67.6 Å³ per cell.

The space group is Pmmm (No. 47) and the conventional cell measures 2.7652, 4.8199 and 5.0744 Å, with angles of 90.00, 90.00 and 90.00 degrees. The asymmetric unit holds Ag at (0.0000, 0.0000, 0.0000), Ag at (0.5000, 0.5000, 0.0000), Mo at (0.0000, 0.5000, 0.5000) and Pt at (0.5000, 0.0000, 0.5000).

---

three) Material: Ag2MoPt
Method: DFT, GGA-PBE
State: optimized geometry

As for the total magnetization: 4.43 μB per cell. The volume comes out at 135.2 Å³ per cell.

The space group is I4/mmm (No. 139) and the conventional cell measures 3.9107, 3.9107 and 8.8369 Å, with angles of 90.00, 90.00 and 90.00 degrees. The asymmetric unit holds Ag at (0.0000, 0.5000, 0.2500), Mo at (0.0000, 0.0000, 0.0000) and Pt at (0.0000, 0.0000, 0.5000).

---

two) is the most stable structure; the next one sits 71 meV per atom above it.

---

one) Material: Ag2MoPt
Method: DFT, GGA-PBE
State: optimized geometry

As for the total magnetization: 0.00 μB per cell. The volume comes out at 66.6 Å³ per cell.

The space group is P4mm (No. 99) and the conventional cell measures 2.8112, 2.8112 and 8.4258 Å, with angles of 90.00, 90.00 and 90.00 degrees. The asymmetric unit holds Ag at (0.0000, 0.0000, 0.0000), Ag at (0.5000, 0.5000, 0.2610), Mo at (0.0000, 0.0000, 0.5214) and Pt at (0.5000, 0.5000, 0.7405).

---

two) Material: Ag2MoPt
Method: DFT, GGA-PBE
State: optimized geometry

As for the total magnetization: 0.00 μB per cell. The volume comes out at 199.5 Å³ per cell.

The space group is R3m (No. 160, hexagonal axes) and the conventional cell measures 2.8410, 2.8410 and 28.5478 Å, with angles of 90.00, 90.00 and 120.00 degrees. The asymmetric unit holds Ag at (0.0000, 0.0000, 0.0000), Ag at (0.0000, 0.0000, 0.2478), Mo at (0.0000, 0.0000, 0.7524) and Pt at (0.0000, 0.0000, 0.4952).

---

three) Material: Ag2MoPt
Method: DFT, GGA-PBE
State: optimized geometry

As for the total magnetization: 0.00 μB per cell. The volume comes out at 266.0 Å³ per cell.

The space group is F-43m (No. 216) and the conventional cell measures 6.4316, 6.4316 and 6.4316 Å, with angles of 90.00, 90.00 and 90.00 degrees. The asymmetric unit holds Ag at (0.0000, 0.0000, 0.0000), Ag at (0.2500, 0.2500, 0.2500), Mo at (0.0000, 0.0000, 0.5000) and Pt at (0.2500, 0.2500, 0.7500).

---

four) Material: Ag2MoPt
Method: DFT, GGA-PBE
State: optimized geometry

As for the total magnetization: 0.00 μB per cell. The volume comes out at 133.6 Å³ per cell.

The space group is Cmmm (No. 65) and the conventional cell measures 3.0220, 4.5528 and 9.7085 Å, with angles of 90.00, 90.00 and 90.00 degrees. The asymmetric unit holds Ag at (0.0000, 0.0000, 0.2479), Mo at (0.0000, 0.5000, 0.5000) and Pt at (0.0000, 0.5000, 0.0000).

---

one) is the most stable structure; the next one sits 48 meV per atom above it.